Ce2HoRu | PBE-GGA | relaxed

Computed properties:
total magnetization: 1.07 μB per cell
relative energy among the computed polymorphs: 0.00 eV/f.u.
volume: 25.78 Å³ per atom
DFT formation energy: -1.0 eV/f.u.
SG: No. 62

```
data_Ce2HoRu
_chemical_formula_sum 'Ce8 Ho4 Ru4'
_cell_length_a 6.0721
_cell_length_b 7.0235
_cell_length_c 9.6721
_cell_angle_alpha 90.00
_cell_angle_beta 90.00
_cell_angle_gamma 90.00
_space_group_name_H-M_alt 'P 1'
_space_group_IT_number 1
_space_group_name_Hall 'P 1'
loop_
_atom_site_label
_atom_site_fract_x
_atom_site_fract_y
_atom_site_fract_z
_atom_site_occupancy
Ce1 0.8478 0.3372 0.9404 1
Ru1 0.8784 0.6017 0.7500 1
Ru2 0.6216 0.1017 0.7500 1
Ce2 0.6522 0.8372 0.5596 1
Ce3 0.1522 0.6628 0.4404 1
Ho1 0.8625 0.0417 0.2500 1
Ho2 0.3625 0.4583 0.7500 1
Ho3 0.6375 0.5417 0.2500 1
Ru3 0.3784 0.8983 0.2500 1
Ce4 0.3478 0.1628 0.4404 1
Ho4 0.1375 0.9583 0.7500 1
Ce5 0.3478 0.1628 0.0596 1
Ce6 0.8478 0.3372 0.5596 1
Ce7 0.6522 0.8372 0.9404 1
Ce8 0.1522 0.6628 0.0596 1
Ru4 0.1216 0.3983 0.2500 1
```